Entry 1:
## Er6ZnTe3Se2 (PBE)

Data for a relaxed structure of Er6ZnTe3Se2.

Geometry as POSCAR:
```
Er6ZnTe3Se2
1.0
7.2267 0.0043 0.0055
-3.6079 6.2617 0.0055
-1.2015 -2.0804 6.9851
Er Zn Te Se
6 1 3 2
Direct
0.9274 0.6060 0.7805
0.7540 0.7540 0.2229
0.0726 0.3940 0.2195
0.6060 0.9274 0.7805
0.2460 0.2460 0.7771
0.3940 0.0726 0.2195
0.0000 0.0000 0.0000
0.1722 0.8278 0.5000
0.8278 0.1722 0.5000
0.5000 0.5000 0.5000
0.3348 0.6652 0.0000
0.6652 0.3348 0.0000
```

---

Entry 2:
## ErTh2Se3 (PBE)

Data for a relaxed structure of ErTh2Se3.

Geometry as POSCAR:
```
ErTh2Se3
1.0
-3.6367 1.9635 5.7559
-3.3380 -3.4027 -5.2431
3.7500 -5.6128 2.8402
Er Th Se
2 4 6
Direct
0.0018 0.9982 0.0000
0.6649 0.3351 0.0000
0.8333 0.1667 0.5000
0.3333 0.6667 0.0000
0.1738 0.8262 0.5000
0.4928 0.5072 0.5000
0.6029 0.9363 0.7701
0.0637 0.3971 0.2299
0.9082 0.5865 0.7602
0.2532 0.2415 0.7602
0.4135 0.0918 0.2398
0.7585 0.7468 0.2398
```

---

Across the entries above, formation energy without anion corrections takes the values -1.2758, -1.5807 eV/atom, respectively.